1.
Density functional theory data (PBE) for a geometry-optimized Cs12Cd5Pb3 structure.

SG: Ia-3d (230)
DFT formation energy: 2.841 kcal/mol of atoms
E_tot: -93.92 eV per cell

Unit cell a=19.827 b=19.827 c=19.827 alpha=109.47 beta=109.47 gamma=109.47
Site moments in Bohr magnetons follow the coordinates.
Fractional coordinates of all 80 atoms:
Pb 0.750 0.375 0.125  0.27
Pb 0.875 0.750 0.125  0.27
Pb 0.375 0.750 0.625  0.27
Pb 0.250 0.125 0.375  0.27
Pb 0.875 0.125 0.250  0.27
Pb 0.375 0.625 0.250  0.27
Pb 0.625 0.375 0.750  0.27
Pb 0.125 0.875 0.750  0.27
Pb 0.750 0.875 0.625  0.27
Pb 0.625 0.250 0.375  0.27
Pb 0.125 0.250 0.875  0.27
Pb 0.250 0.625 0.875  0.27
Cd 0.125 0.375 0.250  -0.02
Cd 0.000 0.500 0.000  -0.04
Cd 0.000 0.000 0.000  -0.04
Cd 0.375 0.250 0.125  -0.02
Cd 0.500 0.000 0.500  -0.04
Cd 0.500 0.500 0.000  -0.04
Cd 0.125 0.750 0.375  -0.02
Cd 0.750 0.125 0.875  -0.02
Cd 0.750 0.625 0.375  -0.02
Cd 0.375 0.125 0.750  -0.02
Cd 0.625 0.875 0.250  -0.02
Cd 0.500 0.500 0.500  -0.04
Cd 0.500 0.000 0.000  -0.04
Cd 0.000 0.000 0.500  -0.04
Cd 0.250 0.375 0.625  -0.02
Cd 0.250 0.875 0.125  -0.02
Cd 0.000 0.500 0.500  -0.04
Cd 0.875 0.250 0.625  -0.02
Cd 0.625 0.750 0.875  -0.02
Cd 0.875 0.625 0.750  -0.02
Cs 0.731 0.136 0.060  0.00
Cs 0.329 0.560 0.424  0.00
Cs 0.940 0.364 0.269  0.00
Cs 0.560 0.231 0.136  0.00
Cs 0.595 0.731 0.671  0.00
Cs 0.940 0.576 0.171  0.00
Cs 0.329 0.769 0.405  0.00
Cs 0.076 0.905 0.136  0.00
Cs 0.576 0.940 0.671  0.00
Cs 0.731 0.595 0.171  0.00
Cs 0.769 0.440 0.364  0.00
Cs 0.829 0.924 0.060  0.00
Cs 0.136 0.731 0.560  0.00
Cs 0.364 0.424 0.095  0.00
Cs 0.095 0.924 0.364  0.00
Cs 0.405 0.136 0.576  0.00
Cs 0.095 0.171 0.231  0.00
Cs 0.440 0.671 0.076  0.00
Cs 0.829 0.905 0.269  0.00
Cs 0.136 0.405 0.076  0.00
Cs 0.364 0.940 0.769  0.00
Cs 0.576 0.636 0.405  0.00
Cs 0.924 0.829 0.560  0.00
Cs 0.769 0.329 0.905  0.00
Cs 0.424 0.364 0.595  0.00
Cs 0.076 0.171 0.440  0.00
Cs 0.231 0.671 0.095  0.00
Cs 0.171 0.095 0.731  0.00
Cs 0.636 0.060 0.231  0.00
Cs 0.864 0.595 0.924  0.00
Cs 0.560 0.329 0.924  0.00
Cs 0.595 0.864 0.424  0.00
Cs 0.905 0.829 0.769  0.00
Cs 0.905 0.076 0.636  0.00
Cs 0.864 0.269 0.440  0.00
Cs 0.171 0.076 0.940  0.00
Cs 0.636 0.576 0.905  0.00
Cs 0.424 0.060 0.329  0.00
Cs 0.269 0.405 0.829  0.00
Cs 0.231 0.560 0.636  0.00
Cs 0.924 0.095 0.864  0.00
Cs 0.671 0.231 0.595  0.00
Cs 0.440 0.769 0.864  0.00
Cs 0.060 0.424 0.829  0.00
Cs 0.405 0.269 0.329  0.00
Cs 0.060 0.636 0.731  0.00
Cs 0.671 0.440 0.576  0.00
Cs 0.269 0.864 0.940  0.00

---

2.
Density functional theory data (PBE) for a geometry-optimized CsCd4Pb8 structure.

SG: I4/mmm (139)
DFT formation energy: -0.384 kcal/mol of atoms
E_tot: -34.40 eV per cell

Unit cell a=6.144 b=8.703 c=8.703 alpha=82.84 beta=69.33 gamma=69.33
Fractional coordinates of all 13 atoms:
Cs 0.000 0.000 0.000
Cd 0.000 0.000 0.500
Cd 0.500 0.000 0.500
Cd 0.000 0.500 0.000
Cd 0.500 0.500 0.000
Pb 0.000 0.355 0.645
Pb 0.000 0.645 0.355
Pb 0.355 0.645 0.645
Pb 0.645 0.355 0.355
Pb 0.500 0.776 0.224
Pb 0.500 0.224 0.776
Pb 0.276 0.224 0.224
Pb 0.724 0.776 0.776

---

| no. | DOS(E_F) (states/eV/cell) |
| --- | --- |
| 1 | 52.27 |
| 2 | 7.10 |